Here is crystalline La2YHo5 at its relaxed geometry from Alexandria. Energies are from GGA-PBE.

a b c (Å): 5.0921 7.1673 14.3387
angles (deg): 90.00 90.00 90.00
Last column: nearest neighbours and their distance in Å.
Fractional positions:
Ho: 0.5000 0.7510 0.1254  4 La 3.57-3.60, 6 Ho 3.58-3.60, 2 Y 3.60
Ho: 0.0000 0.5000 0.5000  6 Ho 3.58-3.59, 2 Y 3.58, 4 La 3.59
Ho: 0.0000 0.0005 0.2494  7 Ho 3.58-3.60, 4 La 3.58-3.60, 1 Y 3.59
Ho: 0.5000 0.2510 0.3746  4 La 3.57-3.60, 6 Ho 3.58-3.60, 2 Y 3.60
Ho: 0.5000 0.2490 0.8746  4 La 3.57-3.60, 6 Ho 3.58-3.60, 2 Y 3.60
Ho: 0.0000 0.0000 0.0000  6 Ho 3.58-3.59, 2 Y 3.58, 4 La 3.59
Ho: 0.5000 0.7490 0.6254  4 La 3.57-3.60, 6 Ho 3.58-3.60, 2 Y 3.60
Ho: 0.0000 0.9995 0.7506  7 Ho 3.58-3.60, 4 La 3.58-3.60, 1 Y 3.59
Ho: 0.0000 0.4995 0.7494  7 Ho 3.58-3.60, 4 La 3.58-3.60, 1 Y 3.59
Ho: 0.0000 0.5005 0.2506  7 Ho 3.58-3.60, 4 La 3.58-3.60, 1 Y 3.59
La: 0.5000 0.2508 0.6256  10 Ho 3.57-3.60, 2 Y 3.60
La: 0.5000 0.7508 0.8744  10 Ho 3.57-3.60, 2 Y 3.60
La: 0.5000 0.2492 0.1256  10 Ho 3.57-3.60, 2 Y 3.60
La: 0.5000 0.7492 0.3744  10 Ho 3.57-3.60, 2 Y 3.60
Y: 0.0000 0.5000 0.0000  8 Ho 3.58-3.60, 4 La 3.60
Y: 0.0000 0.0000 0.5000  8 Ho 3.58-3.60, 4 La 3.60

The calculation puts the polymorph energy (0 for the lowest one) at 0 meV per atom. As for the energy of formation from the pure elements: 3.4 kJ/mol of atoms. For the total energy, the calculation gives -4.866 eV/atom.

Here is crystalline La5Y4Ho at its relaxed geometry from Alexandria. Energies are from GGA-PBE.

a b c (Å): 3.7050 3.7050 25.1941
angles (deg): 90.00 90.00 90.00
Last column: nearest neighbours and their distance in Å.
Fractional positions:
La: 0.5000 0.5000 0.2990  8 Y 3.64, 4 La 3.71
La: 0.5000 0.5000 0.0985  4 Ho 3.61, 4 Y 3.64, 4 La 3.71
La: 0.5000 0.5000 0.5000  8 Y 3.64, 4 La 3.71
La: 0.5000 0.5000 0.9015  4 Ho 3.61, 4 Y 3.64, 4 La 3.71
La: 0.5000 0.5000 0.7010  8 Y 3.64, 4 La 3.71
Y: 0.0000 0.0000 0.3995  8 La 3.64, 4 Y 3.71
Y: 0.0000 0.0000 0.8012  8 La 3.64, 4 Y 3.71
Y: 0.0000 0.0000 0.6005  8 La 3.64, 4 Y 3.71
Y: 0.0000 0.0000 0.1988  8 La 3.64, 4 Y 3.71
Ho: 0.0000 0.0000 0.0000  8 La 3.61, 4 Ho 3.71

As for the energy of formation from the pure elements: 2.3 kJ/mol of atoms. For the total energy, the calculation gives -5.484 eV/atom.

Here is crystalline La6Y5Ho2 at its relaxed geometry from Alexandria. Energies are from GGA-PBE.

a b c (Å): 3.6618 11.7886 21.0085
angles (deg): 90.00 90.00 90.00
Last column: nearest neighbours and their distance in Å.
Fractional positions:
Ho: 0.0000 0.3355 0.2904  3 La 3.39-3.73, 6 Y 3.57-3.68, 2 Ho 3.66
Ho: 0.0000 0.8355 0.2096  3 La 3.39-3.73, 6 Y 3.57-3.68, 2 Ho 3.66
Ho: 0.0000 0.1645 0.7904  3 La 3.39-3.73, 6 Y 3.57-3.68, 2 Ho 3.66
Ho: 0.0000 0.6645 0.7096  3 La 3.39-3.73, 6 Y 3.57-3.68, 2 Ho 3.66
Y: 0.5000 0.5943 0.2739  5 La 3.35-3.60, 4 Ho 3.57-3.64, 2 Y 3.66
Y: 0.5000 0.3011 0.4413  6 La 3.55-3.79, 3 Y 3.66-3.76, 2 Ho 3.68
Y: 0.5000 0.0000 0.5000  6 La 3.50, 4 Y 3.66-3.76
Y: 0.5000 0.6989 0.5587  6 La 3.55-3.79, 3 Y 3.66-3.76, 2 Ho 3.68
Y: 0.5000 0.4057 0.7261  5 La 3.35-3.60, 4 Ho 3.57-3.64, 2 Y 3.66
Y: 0.5000 0.5000 0.0000  6 La 3.50, 4 Y 3.66-3.76
Y: 0.5000 0.0943 0.2261  5 La 3.35-3.60, 4 Ho 3.57-3.64, 2 Y 3.66
Y: 0.5000 0.8011 0.0587  6 La 3.55-3.79, 3 Y 3.66-3.76, 2 Ho 3.68
Y: 0.5000 0.1989 0.9413  6 La 3.55-3.79, 3 Y 3.66-3.76, 2 Ho 3.68
Y: 0.5000 0.9057 0.7739  5 La 3.35-3.60, 4 Ho 3.57-3.64, 2 Y 3.66
La: 0.0000 0.5627 0.4205  6 Y 3.60-3.79, 5 La 3.65-3.82, 1 Ho 3.83
La: 0.0000 0.0807 0.3657  1 Ho 3.39, 6 Y 3.46-3.55, 4 La 3.49-3.66
La: 0.0000 0.4373 0.5795  6 Y 3.60-3.79, 5 La 3.65-3.82, 1 Ho 3.83
La: 0.5000 0.1713 0.6360  2 Y 3.35-3.50, 4 La 3.49-3.66, 2 Ho 3.73
La: 0.5000 0.8287 0.3640  2 Y 3.35-3.50, 4 La 3.49-3.66, 2 Ho 3.73
La: 0.0000 0.5807 0.1343  1 Ho 3.39, 6 Y 3.46-3.55, 4 La 3.49-3.66
La: 0.5000 0.3287 0.1360  2 Y 3.35-3.50, 4 La 3.49-3.66, 2 Ho 3.73
La: 0.0000 0.4193 0.8657  1 Ho 3.39, 6 Y 3.46-3.55, 4 La 3.49-3.66
La: 0.0000 0.9373 0.9205  6 Y 3.60-3.79, 5 La 3.65-3.82, 1 Ho 3.83
La: 0.0000 0.9193 0.6343  1 Ho 3.39, 6 Y 3.46-3.55, 4 La 3.49-3.66
La: 0.0000 0.0627 0.0795  6 Y 3.60-3.79, 5 La 3.65-3.82, 1 Ho 3.83
La: 0.5000 0.6713 0.8640  2 Y 3.35-3.50, 4 La 3.49-3.66, 2 Ho 3.73

As for the energy of formation from the pure elements: 10.6 kJ/mol of atoms. For the total energy, the calculation gives -5.355 eV/atom.

Here is crystalline La5Y3Ho at its relaxed geometry from Alexandria. Energies are from GGA-PBE.

a b c (Å): 9.5390 9.5390 9.8039
angles (deg): 119.11 119.11 90.00
Last column: nearest neighbours and their distance in Å.
Fractional positions:
La: 0.5640 0.6625 0.7265  1 Ho 3.15, 1 Y 3.22, 1 La 3.49
La: 0.6625 0.1625 0.7265  1 Ho 3.15, 1 Y 3.22, 1 La 3.49
La: 0.3375 0.8375 0.2735  1 Ho 3.15, 1 Y 3.22, 1 La 3.49
La: 0.0000 0.0000 0.0000  6 Y 3.56-3.87, 8 La 3.95
La: 0.0640 0.5640 0.7265  1 Ho 3.15, 1 Y 3.22, 1 La 3.49
La: 0.9360 0.4360 0.2735  1 Ho 3.15, 1 Y 3.22, 1 La 3.49
La: 0.5000 0.5000 0.0000  6 Y 3.56-3.87, 8 La 3.95
La: 0.4360 0.3375 0.2735  1 Ho 3.15, 1 Y 3.22, 1 La 3.49
La: 0.8375 0.9360 0.2735  1 Ho 3.15, 1 Y 3.22, 1 La 3.49
La: 0.1625 0.0640 0.7265  1 Ho 3.15, 1 Y 3.22, 1 La 3.49
Ho: 0.2500 0.7500 0.5000  4 La 3.15
Ho: 0.7500 0.2500 0.5000  4 La 3.15
Y: 0.8914 0.6086 0.0000  1 Y 2.93, 2 La 3.22
Y: 0.2500 0.2500 0.5000  10 La 3.56-3.80
Y: 0.6086 0.1086 0.0000  1 Y 2.93, 2 La 3.22
Y: 0.3914 0.8914 0.0000  1 Y 2.93, 2 La 3.22
Y: 0.7500 0.7500 0.5000  10 La 3.56-3.80
Y: 0.1086 0.3914 0.0000  1 Y 2.93, 2 La 3.22

The calculation puts the polymorph energy (0 for the lowest one) at 69 meV per atom. As for the energy of formation from the pure elements: 29.9 kJ/mol of atoms. For the total energy, the calculation gives -5.091 eV/atom.